1.
A relaxed structure of K4U3CuSe8, computed with PBE-GGA. Values from VASP.

Cell and atoms, written as Quantum ESPRESSO input:
```
&SYSTEM
  ibrav = 0, nat = 16, ntyp = 4
/
ATOMIC_SPECIES
K 39.10 K.upf
U 238.03 U.upf
Cu 63.55 Cu.upf
Se 78.96 Se.upf
CELL_PARAMETERS angstrom
7.249 -4.173 0.000
7.249 4.173 0.000
-4.832 0.000 7.687
ATOMIC_POSITIONS crystal
K 0.000 0.000 0.000
K 0.000 0.500 0.000
K 0.500 0.000 0.000
K 0.500 0.500 0.000
U 0.000 0.000 0.500
U 0.000 0.500 0.500
U 0.500 0.000 0.500
Cu 0.500 0.500 0.500
Se 0.236 0.236 0.709
Se 0.236 0.731 0.699
Se 0.266 0.266 0.299
Se 0.269 0.764 0.301
Se 0.731 0.236 0.699
Se 0.734 0.734 0.701
Se 0.764 0.269 0.301
Se 0.764 0.764 0.291
```

**E_form (uncorrected)**: -1706 kJ/mol of formula units

***

2.
A relaxed structure of ScHg3F, computed with PBE-GGA. Values from VASP.

Cell and atoms, written as Quantum ESPRESSO input:
```
&SYSTEM
  ibrav = 0, nat = 5, ntyp = 3
/
ATOMIC_SPECIES
Sc 44.96 Sc.upf
Hg 200.59 Hg.upf
F 19.00 F.upf
CELL_PARAMETERS angstrom
5.718 0.000 0.000
0.000 5.718 0.000
0.000 0.000 5.718
ATOMIC_POSITIONS crystal
Sc 0.000 0.000 0.000
Hg 0.000 0.000 0.500
Hg 0.000 0.500 0.000
Hg 0.500 0.000 0.000
F 0.500 0.500 0.500
```

**E above lowest polymorph**: 169.5 meV/atom
**E_form (uncorrected)**: -12 kJ/mol of formula units

***

3.
A relaxed structure of KTbCl4, computed with PBE-GGA. Values from VASP.

Cell and atoms, written as Quantum ESPRESSO input:
```
&SYSTEM
  ibrav = 0, nat = 12, ntyp = 3
/
ATOMIC_SPECIES
K 39.10 K.upf
Tb 158.93 Tb.upf
Cl 35.45 Cl.upf
CELL_PARAMETERS angstrom
7.763 0.000 0.000
0.000 6.914 0.000
-1.354 0.000 7.212
ATOMIC_POSITIONS crystal
K 0.000 0.000 0.000
K 0.000 0.500 0.500
Tb 0.500 0.000 0.500
Tb 0.500 0.500 0.000
Cl 0.184 0.132 0.395
Cl 0.184 0.368 0.895
Cl 0.391 0.688 0.283
Cl 0.391 0.812 0.783
Cl 0.609 0.188 0.217
Cl 0.609 0.312 0.717
Cl 0.816 0.632 0.105
Cl 0.816 0.868 0.605
```

**E above lowest polymorph**: 0.0 meV/atom
**E_form (uncorrected)**: -1263 kJ/mol of formula units

***

4.
A relaxed structure of HfCuIr, computed with PBE-GGA. Values from VASP.

Cell and atoms, written as Quantum ESPRESSO input:
```
&SYSTEM
  ibrav = 0, nat = 6, ntyp = 3
/
ATOMIC_SPECIES
Hf 178.49 Hf.upf
Cu 63.55 Cu.upf
Ir 192.22 Ir.upf
CELL_PARAMETERS angstrom
2.117 -4.564 0.000
2.117 4.564 0.000
0.000 0.000 5.089
ATOMIC_POSITIONS crystal
Hf 0.212 0.788 0.750
Hf 0.788 0.212 0.250
Cu 0.500 0.500 0.000
Cu 0.500 0.500 0.500
Ir 0.101 0.899 0.250
Ir 0.899 0.101 0.750
```

**E above lowest polymorph**: 0.0 meV/atom
**Calculated formation energy**: -644 meV per atom